Record 1
Density functional theory data (GGA-PBEsol) for MoPd2S2 after structural relaxation.

```
data_MoPd2S2
_cell_length_a 3.441
_cell_length_b 3.441
_cell_length_c 6.956
_cell_angle_alpha 104.32
_cell_angle_beta 104.32
_cell_angle_gamma 90.00
_space_group_name_H-M_alt 'P 1'
_space_group_IT_number 1
_space_group_name_Hall 'P 1'
loop_
_atom_site_label
_atom_site_type_symbol
_atom_site_fract_x
_atom_site_fract_y
_atom_site_fract_z
S1 S 0.397 0.397 0.794
Pd1 Pd 0.250 0.750 0.500
S2 S 0.603 0.603 0.206
Pd2 Pd 0.750 0.250 0.500
Mo1 Mo 0.000 0.000 0.000
```

Values from the calculation:
As for the density of states at the Fermi level: 0.87 states/eV per atom. As for the space group: No. 139. The total energy is -6.120 eV per atom. The value obtained for the uncorrected formation energy is 0.371 eV per atom. Its total moment is 1.018 Bohr magnetons per cell.

---

Record 2
Density functional theory data (GGA-PBEsol) for AlNi2Au after structural relaxation.

```
data_AlNi2Au
_cell_length_a 2.905
_cell_length_b 2.905
_cell_length_c 5.987
_cell_angle_alpha 90.00
_cell_angle_beta 90.00
_cell_angle_gamma 90.00
_space_group_name_H-M_alt 'P 1'
_space_group_IT_number 1
_space_group_name_Hall 'P 1'
loop_
_atom_site_label
_atom_site_type_symbol
_atom_site_fract_x
_atom_site_fract_y
_atom_site_fract_z
Al1 Al 0.500 0.500 0.000
Au1 Au 0.500 0.500 0.500
Ni1 Ni 0.000 0.000 0.221
Ni2 Ni 0.000 0.000 0.779
```

Values from the calculation:
As for the density of states at the Fermi level: 0.57 states/eV per atom. As for the space group: No. 123. The total energy is -5.429 eV per atom. Its total moment is 0.000 Bohr magnetons per cell.

---

Record 3
Density functional theory data (GGA-PBEsol) for CdFe2Se after structural relaxation.

```
data_CdFe2Se
_cell_length_a 3.782
_cell_length_b 3.782
_cell_length_c 4.991
_cell_angle_alpha 112.26
_cell_angle_beta 112.26
_cell_angle_gamma 90.00
_space_group_name_H-M_alt 'P 1'
_space_group_IT_number 1
_space_group_name_Hall 'P 1'
loop_
_atom_site_label
_atom_site_type_symbol
_atom_site_fract_x
_atom_site_fract_y
_atom_site_fract_z
Cd1 Cd 0.250 0.750 0.500
Fe1 Fe 0.000 0.000 0.000
Fe2 Fe 0.750 0.250 0.500
Se1 Se 0.500 0.500 0.000
```

Values from the calculation:
As for the density of states at the Fermi level: 1.05 states/eV per atom. As for the space group: No. 119. The total energy is -5.314 eV per atom. The value obtained for the uncorrected formation energy is 0.430 eV per atom. Its total moment is 5.401 Bohr magnetons per cell.

---

Record 4
Density functional theory data (GGA-PBEsol) for Bi3TeAu after structural relaxation.

```
data_Bi3TeAu
_cell_length_a 5.466
_cell_length_b 5.466
_cell_length_c 5.466
_cell_angle_alpha 90.00
_cell_angle_beta 90.00
_cell_angle_gamma 90.00
_space_group_name_H-M_alt 'P 1'
_space_group_IT_number 1
_space_group_name_Hall 'P 1'
loop_
_atom_site_label
_atom_site_type_symbol
_atom_site_fract_x
_atom_site_fract_y
_atom_site_fract_z
Bi1 Bi 0.000 0.500 0.000
Bi2 Bi 0.000 0.000 0.500
Au1 Au 0.000 0.000 0.000
Te1 Te 0.500 0.500 0.500
Bi3 Bi 0.500 0.000 0.000
```

Values from the calculation:
As for the offset from the most stable computed form: 0 meV per atom. As for the density of states at the Fermi level: 1.18 states/eV per atom. As for the space group: No. 221. The total energy is -3.576 eV per atom. The value obtained for the uncorrected formation energy is 0.485 eV per atom. Its total moment is 0.000 Bohr magnetons per cell.